A relaxed BeCu2Au crystal, computed with PBE.

a b c (Å): 3.8393 3.8393 6.7873
angles (deg): 90.00 90.00 90.00
Last column: nearest neighbours and their distance in Å.
Sites, in units of the cell vectors:
1 Be 0.2500 0.7500 0.0000  4 Au 2.40, 4 Cu 2.48
2 Be 0.7500 0.2500 0.0000  4 Au 2.40, 4 Cu 2.48
3 Cu 0.2500 0.2500 0.2310  4 Be 2.48, 4 Cu 2.65, 4 Au 2.72
4 Cu 0.2500 0.7500 0.5000  8 Cu 2.65-2.71, 4 Au 2.73
5 Cu 0.7500 0.2500 0.5000  8 Cu 2.65-2.71, 4 Au 2.73
6 Cu 0.7500 0.7500 0.7690  4 Be 2.48, 4 Cu 2.65, 4 Au 2.72
7 Au 0.2500 0.2500 0.7868  4 Be 2.40
8 Au 0.7500 0.7500 0.2132  4 Be 2.40

Computed properties:
Magnetization: 0.0 μB per cell
Energy of formation: -96 meV per atom
Total DFT energy (no corrections): -3.895 eV/atom

***

A relaxed GeRuAu3 crystal, computed with PBE.

a b c (Å): 5.0232 5.0232 5.0232
angles (deg): 90.00 90.00 90.00
Last column: nearest neighbours and their distance in Å.
Sites, in units of the cell vectors:
1 Ge 0.0000 0.0000 0.0000  12 Au 3.55
2 Ru 0.5000 0.5000 0.5000  6 Au 2.51
3 Au 0.0000 0.5000 0.5000  2 Ru 2.51
4 Au 0.5000 0.0000 0.5000  2 Ru 2.51
5 Au 0.5000 0.5000 0.0000  2 Ru 2.51

Computed properties:
Magnetization: 2.1 μB per cell
Polymorph energy (0 for the lowest one): 140 meV/atom
Energy of formation: 1132 meV per atom
Total DFT energy (no corrections): -3.613 eV/atom

***

A relaxed YWBr4 crystal, computed with PBE.

a b c (Å): 6.2042 6.2042 6.2042
angles (deg): 60.00 60.00 60.00
Last column: nearest neighbours and their distance in Å.
Sites, in units of the cell vectors:
1 Y 0.0000 0.0000 0.0000  12 Br 3.64, 4 W 3.80
2 W 0.2500 0.2500 0.2500  12 Br 3.64, 4 Y 3.80
3 Br 0.1250 0.6250 0.6250  6 Br 3.10
4 Br 0.6250 0.1250 0.6250  6 Br 3.10
5 Br 0.6250 0.6250 0.1250  6 Br 3.10
6 Br 0.6250 0.6250 0.6250  6 Br 3.10

Computed properties:
Magnetization: 6.4 μB per cell
Formation energy (no corrections): 946 meV per atom
Total DFT energy (no corrections): -3.406 eV/atom